[1]
The following is a DFT calculation (PBE) of a relaxed structure of BaTcTeO6.

Calculated values
total DFT energy (no corrections)	-6.681	eV per atom
theoretical density	5.25	g/cm3
space-group type	No. 149

The structure in POSCAR format:
```
BaTcTeO6
1.0
-2.186 -0.411 -4.885
1.871 -3.633 -3.481
-3.804 -3.907 2.032
O Tc Te Ba
6 1 1 1
direct
0.376 0.615 0.310
0.376 0.008 0.690
0.615 0.376 0.690
0.615 0.008 0.310
0.008 0.376 0.310
0.008 0.615 0.690
0.667 0.667 0.500
0.333 0.333 0.500
0.000 0.000 0.000
```

=====

[2]
The following is a DFT calculation (PBE) of a relaxed structure of Ba2TcTeO6.

Calculated values
total DFT energy (no corrections)	-6.568	eV per atom
theoretical density	6.60	g/cm3
space-group type	No. 225

The structure in POSCAR format:
```
Ba2TcTeO6
1.0
-2.431 -5.409 0.649
5.422 -2.471 -0.281
1.866 -3.604 4.373
O Ba Te Tc
6 2 1 1
direct
0.757 0.756 0.000
0.243 0.244 0.000
0.244 0.757 0.000
0.756 0.243 0.000
0.756 0.756 0.488
0.244 0.244 0.512
0.250 0.750 0.500
0.750 0.250 0.500
0.500 0.500 0.000
0.000 0.000 0.000
```

=====

[3]
The following is a DFT calculation (PBE) of a relaxed structure of Ba2ThTc3O12.

Calculated values
total DFT energy (no corrections)	-7.726	eV per atom
theoretical density	6.24	g/cm3
space-group type	No. 166

The structure in POSCAR format:
```
Ba2ThTc3O12
1.0
-5.126 -1.917 4.344
-0.243 -6.802 1.577
1.997 -1.675 6.482
Th O Tc Ba
1 12 3 2
direct
0.000 0.000 0.000
0.600 0.125 0.125
0.717 0.093 0.717
0.125 0.600 0.125
0.907 0.283 0.283
0.875 0.875 0.400
0.125 0.125 0.600
0.283 0.283 0.907
0.093 0.717 0.717
0.875 0.400 0.875
0.717 0.717 0.093
0.283 0.907 0.283
0.400 0.875 0.875
0.000 0.500 0.000
0.500 0.000 0.000
0.000 0.000 0.500
0.382 0.382 0.382
0.618 0.618 0.618
```

=====

[4]
The following is a DFT calculation (PBE) of a relaxed structure of BaThTcO6.

Calculated values
total DFT energy (no corrections)	-7.977	eV per atom
theoretical density	6.76	g/cm3
space-group type	No. 74

The structure in POSCAR format:
```
BaThTcO6
1.0
7.585 0.000 0.000
0.000 7.357 0.000
-3.792 -3.679 4.962
O Ba Tc Th
12 2 2 2
direct
0.191 0.828 0.739
0.452 0.589 0.261
0.578 0.828 0.156
0.872 0.122 0.743
0.452 0.172 0.261
0.548 0.411 0.739
0.128 0.878 0.257
0.422 0.172 0.844
0.548 0.828 0.739
0.809 0.172 0.261
0.809 0.589 0.261
0.191 0.411 0.739
0.163 0.413 0.326
0.837 0.587 0.674
0.500 0.500 0.000
0.500 0.000 0.000
0.500 0.000 0.500
0.000 0.000 0.500
```

=====

[5]
The following is a DFT calculation (PBE) of a relaxed structure of BaThTc2O8.

Calculated values
total DFT energy (no corrections)	-7.935	eV per atom
theoretical density	4.79	g/cm3
space-group type	No. 147

The structure in POSCAR format:
```
BaThTc2O8
1.0
5.998 0.000 0.000
-2.999 5.195 0.000
0.000 0.000 7.721
O Tc Ba Th
8 2 1 1
direct
0.166 0.836 0.699
0.330 0.166 0.301
0.834 0.164 0.301
0.164 0.330 0.699
0.333 0.667 0.013
0.667 0.333 0.987
0.670 0.834 0.699
0.836 0.670 0.301
0.333 0.667 0.783
0.667 0.333 0.217
0.000 0.000 0.000
0.000 0.000 0.500
```

=====

[6]
The following is a DFT calculation (PBE) of a relaxed structure of BaTiTcO6.

Calculated values
total DFT energy (no corrections)	-7.842	eV per atom
theoretical density	4.58	g/cm3
space-group type	No. 163

The structure in POSCAR format:
```
BaTiTcO6
1.0
5.264 0.000 0.000
-2.632 4.559 0.000
0.000 0.000 11.450
O Ti Ba Tc
12 2 2 2
direct
0.405 0.005 0.653
0.005 0.405 0.153
0.400 0.995 0.153
0.595 0.995 0.347
0.995 0.595 0.847
0.600 0.595 0.653
0.995 0.400 0.653
0.405 0.400 0.847
0.400 0.405 0.347
0.005 0.600 0.347
0.595 0.600 0.153
0.600 0.005 0.847
0.333 0.667 0.750
0.667 0.333 0.250
0.000 0.000 0.000
0.000 0.000 0.500
0.333 0.667 0.250
0.667 0.333 0.750
```